The following is a GGA-PBE calculation of an optimized crystal structure of HfAlCu2, from the Open Quantum Materials Database.

Results
- DFT total energy: -5.4876 eV per atom

Unit cell a=7.258 b=6.404 c=5.252 alpha=90.00 beta=90.00 gamma=90.00
Element x y z (fractional)
Hf (0.043, 0.250, 0.149)
Hf (0.457, 0.750, 0.649)
Hf (0.543, 0.250, 0.351)
Hf (0.957, 0.750, 0.851)
Al (0.099, 0.750, 0.346)
Al (0.401, 0.250, 0.846)
Al (0.599, 0.750, 0.154)
Al (0.901, 0.250, 0.654)
Cu (0.188, 0.049, 0.595)
Cu (0.188, 0.451, 0.595)
Cu (0.312, 0.549, 0.095)
Cu (0.312, 0.951, 0.095)
Cu (0.688, 0.049, 0.905)
Cu (0.688, 0.451, 0.905)
Cu (0.812, 0.549, 0.405)
Cu (0.812, 0.951, 0.405)